Entry 1:
Computed, not measured: crystalline RbBa2La at its relaxed geometry at the GGA-PBE level of DFT.

Cell: 4.1869 4.1869 13.2817 Å, 90.00 90.00 90.00°
With the nearest neighbours (Å) after each atom.
Space group P4/mmm (No. 123)
Asymmetric unit:
Rb (0.0000, 0.0000, 0.0000) x1  4 Rb 4.19
Ba (0.5000, 0.5000, 0.2906) x2  4 La 4.06, 4 Ba 4.19
La (0.0000, 0.0000, 0.5000) x1  8 Ba 4.06, 4 La 4.19

The energy relative to the lowest polymorph listed for this composition is 0 meV per atom. As for the crystal system: tetragonal.

=====

Entry 2:
Computed, not measured: crystalline PmMgGe2Pt5 at its relaxed geometry at the GGA-PBE level of DFT.

Cell: 4.2377 4.2377 9.1364 Å, 90.00 90.00 90.00°
With the nearest neighbours (Å) after each atom.
Space group P4/mmm (No. 123)
Asymmetric unit:
Pm (0.0000, 0.0000, 0.0000) x1  12 Pt 3.00-3.01
Mg (0.0000, 0.0000, 0.5000) x1  8 Ge 3.22, 8 Pt 3.23
Ge (0.5000, 0.5000, 0.3704) x2  1 Ge 2.37, 4 Pt 2.46
Pt (0.0000, 0.5000, 0.2335) x4  2 Ge 2.46
Pt (0.5000, 0.5000, 0.0000) x1  4 Pm 3.00, 8 Pt 3.01

As for the total energy: -5.771 eV per atom. As for the crystal system: tetragonal.

=====

Entry 3:
Computed, not measured: crystalline BaMo3N at its relaxed geometry at the GGA-PBE level of DFT.

Cell: 4.3878 4.3878 4.3878 Å, 90.00 90.00 90.00°
With the nearest neighbours (Å) after each atom.
Space group Pm-3m (No. 221)
Asymmetric unit:
Ba (0.0000, 0.0000, 0.0000) x1  12 Mo 3.10
Mo (0.0000, 0.5000, 0.5000) x3  2 N 2.19
N (0.5000, 0.5000, 0.5000) x1  6 Mo 2.19

The calculation puts the formation energy from raw total energies at 853 meV per atom. The energy relative to the lowest polymorph listed for this composition is 0 meV per atom. As for the crystal system: cubic.

=====

Entry 4:
Computed, not measured: crystalline CdAs2HF13 at its relaxed geometry at the GGA-PBE level of DFT.

Cell: 9.5815 9.5749 10.8117 Å, 90.00 104.24 90.00°
With the nearest neighbours (Å) after each atom.
Space group P2_1/c (No. 14)
Asymmetric unit:
Cd (0.2469, 0.1751, 0.0236) x4  7 F 2.28-2.44
As (0.0100, 0.6244, 0.2934) x4  6 F 1.72-1.82
As (0.4901, 0.6609, 0.6749) x4  6 F 1.73-1.83
H (0.1769, 0.0354, 0.5942) x4  1 F 0.96
F (0.0339, 0.2250, 0.0780) x4  1 As 1.82
F (0.0471, 0.5220, 0.1688) x4  1 H 1.73, 1 As 1.77
F (0.1005, 0.2410, 0.3192) x4  1 As 1.79
F (0.1123, 0.5090, 0.4131) x4  1 As 1.80
F (0.1444, 0.0252, 0.2062) x4  1 As 1.76
F (0.1589, 0.7285, 0.3035) x4  1 As 1.72
F (0.2313, 0.0775, 0.5403) x4  1 H 0.96
F (0.3503, 0.7186, 0.1399) x4  1 As 1.74
F (0.3610, 0.0476, 0.8035) x4  1 As 1.76
F (0.3828, 0.5369, 0.5684) x4  1 As 1.79
F (0.3948, 0.2111, 0.2260) x4  1 As 1.81
F (0.4384, 0.5939, 0.8060) x4  1 As 1.73
F (0.4491, 0.2331, 0.9593) x4  1 As 1.83

As for the total energy: -4.280 eV per atom. As for the crystal system: monoclinic.

=====

Across the entries above, ρ takes the values 3.56, 13.06, 8.63, 3.53 g/cm³, respectively.